[1]
{
  "formula": "Cs2HgAs",
  "functional": "PBE-GGA",
  "state": "optimized geometry",
  "e_above_lowest_polymorph_ev_per_atom": 0.090,
  "magmom_total_mub_per_cell": 0.02,
  "spacegroup": "P-1, No. 2",
  "formation_energy_ev_per_atom": -0.248,
  "dft_energy_ev_per_atom": -1.912,
  "lattice": [[5.3635, 0.0000, 0.0000], [-0.0053, 5.5270, 0.0000], [-1.4457, -0.0413, 9.9435]],
  "species": ["Cs", "Cs", "Hg", "As"],
  "fractional_positions": [[0.1669, 0.0014, 0.2220], [0.8331, 0.9986, 0.7780], [0.5000, 0.5000, 0.0000], [0.0000, 0.5000, 0.0000]]
}

***

[2]
{
  "formula": "Nd5SmTl8",
  "functional": "PBE-GGA",
  "state": "optimized geometry",
  "magmom_total_mub_per_cell": 0.00,
  "spacegroup": "I-4, No. 82",
  "formation_energy_ev_per_atom": -0.301,
  "dft_energy_ev_per_atom": -3.693,
  "lattice": [[-4.7614, 4.7614, 4.7339], [4.7614, -4.7614, 4.7339], [4.7614, 4.7614, -4.7339]],
  "species": ["Nd", "Nd", "Nd", "Nd", "Nd", "Sm", "Tl", "Tl", "Tl", "Tl", "Tl", "Tl", "Tl", "Tl"],
  "fractional_positions": [[0.0000, 0.0000, 0.0000], [0.2514, 0.1266, 0.6290], [0.3776, 0.7486, 0.8752], [0.4975, 0.6224, 0.3710], [0.8734, 0.5025, 0.1248], [0.7500, 0.2500, 0.5000], [0.1200, 0.3749, 0.9132], [0.1208, 0.3732, 0.4138], [0.2930, 0.8792, 0.2524], [0.4617, 0.2068, 0.0868], [0.6251, 0.5383, 0.7451], [0.6268, 0.0406, 0.7476], [0.7932, 0.8800, 0.2549], [0.9594, 0.7070, 0.5862]]
}

***

[3]
{
  "formula": "Fe2Ru2Rh7",
  "functional": "PBE-GGA",
  "state": "optimized geometry",
  "magmom_total_mub_per_cell": 5.21,
  "spacegroup": "C2/m, No. 12",
  "formation_energy_ev_per_atom": 0.307,
  "dft_energy_ev_per_atom": -7.597,
  "lattice": [[4.8364, -2.6099, 0.0000], [4.8364, 2.6099, 0.0000], [-3.2604, 0.0000, 6.3372]],
  "species": ["Fe", "Fe", "Ru", "Ru", "Rh", "Rh", "Rh", "Rh", "Rh", "Rh", "Rh"],
  "fractional_positions": [[0.2485, 0.7515, 0.0000], [0.7515, 0.2485, 0.0000], [0.2097, 0.2097, 0.9625], [0.7903, 0.7903, 0.0375], [0.0000, 0.0000, 0.5000], [0.0071, 0.4896, 0.3198], [0.4896, 0.0071, 0.3198], [0.4982, 0.4982, 0.6870], [0.5018, 0.5018, 0.3130], [0.5104, 0.9929, 0.6802], [0.9929, 0.5104, 0.6802]]
}

***

[4]
{
  "formula": "Mn2Os2Rh",
  "functional": "PBE-GGA",
  "state": "optimized geometry",
  "e_above_lowest_polymorph_ev_per_atom": 0.072,
  "magmom_total_mub_per_cell": 0.00,
  "spacegroup": "P4/mbm, No. 127",
  "formation_energy_ev_per_atom": 0.214,
  "dft_energy_ev_per_atom": -9.416,
  "lattice": [[7.1231, 0.0000, 0.0000], [0.0000, 7.1231, 0.0000], [0.0000, 0.0000, 2.6704]],
  "species": ["Mn", "Mn", "Mn", "Mn", "Os", "Os", "Os", "Os", "Rh", "Rh"],
  "fractional_positions": [[0.1672, 0.3328, 0.0000], [0.3328, 0.8328, 0.0000], [0.6672, 0.1672, 0.0000], [0.8328, 0.6672, 0.0000], [0.1290, 0.6290, 0.5000], [0.3710, 0.1290, 0.5000], [0.6290, 0.8710, 0.5000], [0.8710, 0.3710, 0.5000], [0.0000, 0.0000, 0.5000], [0.5000, 0.5000, 0.5000]]
}